A plane-wave DFT calculation with PBE was carried out for a relaxed NpPaFeOs crystal.

a = 4.772 Å, b = 4.772 Å, c = 4.772 Å
α = 60.00°, β = 60.00°, γ = 60.00°
Site moments in Bohr magnetons follow the coordinates.
Atoms (fractional coordinates):
1 Pa 0.000 0.000 0.000  0.78
2 Fe 0.750 0.750 0.750  -1.66
3 Os 0.250 0.250 0.250  -0.35
4 Np 0.500 0.500 0.500  3.69

Computed properties:
V ... 19.21 A^3/atom
Theoretical density ... 15.4 g/cm3
ΔH_f (0 K) ... 0.21 eV/f.u.
DOS(E_F) ... 7.6 states/eV/cell